# 1
## ScRh2Br (PBE-GGA)

Data for an optimized crystal structure of ScRh2Br.

Output
Fermi-level density of states (states/eV per cell): 2.8

```
data_ScRh2Br
_space_group_name_H-M_alt 'P 1'
_space_group_IT_number 1
_space_group_name_Hall 'P 1'
_cell_length_a 3.226
_cell_length_b 4.746
_cell_length_c 4.365
_cell_angle_alpha 90.00
_cell_angle_beta 90.00
_cell_angle_gamma 90.00
loop_
_atom_site_label
_atom_site_type_symbol
_atom_site_fract_x
_atom_site_fract_y
_atom_site_fract_z
Rh1 Rh 0.500 0.500 0.000
Rh2 Rh 0.000 0.000 0.000
Sc1 Sc 0.500 0.000 0.500
Br1 Br 0.000 0.500 0.500
```

# 2
## ScRhBr2 (PBE-GGA)

Data for an optimized crystal structure of ScRhBr2.

Output
Fermi-level density of states (states/eV per cell): 5.6

```
data_ScRhBr2
_space_group_name_H-M_alt 'P 1'
_space_group_IT_number 1
_space_group_name_Hall 'P 1'
_cell_length_a 8.729
_cell_length_b 8.729
_cell_length_c 8.729
_cell_angle_alpha 22.47
_cell_angle_beta 22.47
_cell_angle_gamma 22.47
loop_
_atom_site_label
_atom_site_type_symbol
_atom_site_fract_x
_atom_site_fract_y
_atom_site_fract_z
Rh1 Rh 0.250 0.250 0.250
Sc1 Sc 0.750 0.750 0.750
Br1 Br 0.010 0.010 0.010
Br2 Br 0.490 0.490 0.490
```

# 3
## ScRh2Br (PBE-GGA)

Data for an optimized crystal structure of ScRh2Br.

Output
Fermi-level density of states (states/eV per cell): 3.6

```
data_ScRh2Br
_space_group_name_H-M_alt 'P 1'
_space_group_IT_number 1
_space_group_name_Hall 'P 1'
_cell_length_a 5.332
_cell_length_b 5.332
_cell_length_c 3.161
_cell_angle_alpha 74.00
_cell_angle_beta 74.00
_cell_angle_gamma 116.75
loop_
_atom_site_label
_atom_site_type_symbol
_atom_site_fract_x
_atom_site_fract_y
_atom_site_fract_z
Rh1 Rh 0.500 0.500 0.000
Rh2 Rh 0.000 0.000 0.000
Br1 Br 0.000 0.500 0.500
Sc1 Sc 0.500 0.000 0.500
```

# 4
## ScRhBr2 (PBE-GGA)

Data for an optimized crystal structure of ScRhBr2.

Output
Fermi-level density of states (states/eV per cell): 0.1

```
data_ScRhBr2
_space_group_name_H-M_alt 'P 1'
_space_group_IT_number 1
_space_group_name_Hall 'P 1'
_cell_length_a 4.653
_cell_length_b 4.653
_cell_length_c 8.829
_cell_angle_alpha 74.72
_cell_angle_beta 74.72
_cell_angle_gamma 90.00
loop_
_atom_site_label
_atom_site_type_symbol
_atom_site_fract_x
_atom_site_fract_y
_atom_site_fract_z
Sc1 Sc 0.250 0.750 0.500
Sc2 Sc 0.500 0.500 0.000
Br1 Br 0.375 0.366 0.750
Br2 Br 0.116 0.625 0.250
Br3 Br 0.875 0.884 0.750
Br4 Br 0.634 0.125 0.250
Rh1 Rh 0.750 0.250 0.500
Rh2 Rh 0.000 0.000 0.000
```

# 5
## ScRhBr2 (PBE-GGA)

Data for an optimized crystal structure of ScRhBr2.

Output
Fermi-level density of states (states/eV per cell): 2.5

```
data_ScRhBr2
_space_group_name_H-M_alt 'P 1'
_space_group_IT_number 1
_space_group_name_Hall 'P 1'
_cell_length_a 5.327
_cell_length_b 5.327
_cell_length_c 4.569
_cell_angle_alpha 65.17
_cell_angle_beta 65.17
_cell_angle_gamma 106.77
loop_
_atom_site_label
_atom_site_type_symbol
_atom_site_fract_x
_atom_site_fract_y
_atom_site_fract_z
Br1 Br 0.000 0.000 0.000
Br2 Br 0.500 0.500 0.000
Rh1 Rh 0.500 0.000 0.500
Sc1 Sc 0.000 0.500 0.500
```

# 6
## ScRh2Br (PBE-GGA)

Data for an optimized crystal structure of ScRh2Br.

Output
Fermi-level density of states (states/eV per cell): 5.5

```
data_ScRh2Br
_space_group_name_H-M_alt 'P 1'
_space_group_IT_number 1
_space_group_name_Hall 'P 1'
_cell_length_a 8.513
_cell_length_b 8.513
_cell_length_c 8.513
_cell_angle_alpha 21.34
_cell_angle_beta 21.34
_cell_angle_gamma 21.34
loop_
_atom_site_label
_atom_site_type_symbol
_atom_site_fract_x
_atom_site_fract_y
_atom_site_fract_z
Rh1 Rh 0.503 0.503 0.503
Rh2 Rh 0.997 0.997 0.997
Br1 Br 0.750 0.750 0.750
Sc1 Sc 0.250 0.250 0.250
```

# 7
## ScRhBr2 (PBE-GGA)

Data for an optimized crystal structure of ScRhBr2.

```
data_ScRhBr2
_space_group_name_H-M_alt 'P 1'
_space_group_IT_number 1
_space_group_name_Hall 'P 1'
_cell_length_a 3.613
_cell_length_b 3.613
_cell_length_c 7.325
_cell_angle_alpha 90.00
_cell_angle_beta 90.00
_cell_angle_gamma 90.00
loop_
_atom_site_label
_atom_site_type_symbol
_atom_site_fract_x
_atom_site_fract_y
_atom_site_fract_z
Sc1 Sc 0.500 0.500 0.695
Rh1 Rh 0.000 0.000 0.563
Br1 Br 0.000 0.000 0.904
Br2 Br 0.500 0.500 0.337
```

# 8
## ScRhBr2 (PBE-GGA)

Data for an optimized crystal structure of ScRhBr2.

Output
Fermi-level density of states (states/eV per cell): 2.3

```
data_ScRhBr2
_space_group_name_H-M_alt 'P 1'
_space_group_IT_number 1
_space_group_name_Hall 'P 1'
_cell_length_a 8.601
_cell_length_b 8.601
_cell_length_c 8.601
_cell_angle_alpha 25.36
_cell_angle_beta 25.36
_cell_angle_gamma 25.36
loop_
_atom_site_label
_atom_site_type_symbol
_atom_site_fract_x
_atom_site_fract_y
_atom_site_fract_z
Rh1 Rh 0.500 0.500 0.500
Br1 Br 0.104 0.104 0.104
Br2 Br 0.896 0.896 0.896
Sc1 Sc 0.000 0.000 0.000
```

# 9
## ScRhBr2 (PBE-GGA)

Data for an optimized crystal structure of ScRhBr2.

Output
Fermi-level density of states (states/eV per cell): 0.4

```
data_ScRhBr2
_space_group_name_H-M_alt 'P 1'
_space_group_IT_number 1
_space_group_name_Hall 'P 1'
_cell_length_a 7.562
_cell_length_b 7.562
_cell_length_c 4.153
_cell_angle_alpha 85.56
_cell_angle_beta 85.56
_cell_angle_gamma 27.08
loop_
_atom_site_label
_atom_site_type_symbol
_atom_site_fract_x
_atom_site_fract_y
_atom_site_fract_z
Br1 Br 0.110 0.110 0.957
Br2 Br 0.390 0.390 0.543
Rh1 Rh 0.250 0.250 0.250
Sc1 Sc 0.750 0.750 0.750
```

# 10
## ScRhBr3 (PBE-GGA)

Data for an optimized crystal structure of ScRhBr3.

Output
Fermi-level density of states (states/eV per cell): 12.4

```
data_ScRhBr3
_space_group_name_H-M_alt 'P 1'
_space_group_IT_number 1
_space_group_name_Hall 'P 1'
_cell_length_a 5.058
_cell_length_b 5.058
_cell_length_c 5.058
_cell_angle_alpha 90.00
_cell_angle_beta 90.00
_cell_angle_gamma 90.00
loop_
_atom_site_label
_atom_site_type_symbol
_atom_site_fract_x
_atom_site_fract_y
_atom_site_fract_z
Br1 Br 0.500 0.000 0.000
Br2 Br 0.000 0.500 0.000
Br3 Br 0.000 0.000 0.500
Sc1 Sc 0.500 0.500 0.500
Rh1 Rh 0.000 0.000 0.000
```

# 11
## ScRh2Br (PBE-GGA)

Data for an optimized crystal structure of ScRh2Br.

Output
Fermi-level density of states (states/eV per cell): 3.4

```
data_ScRh2Br
_space_group_name_H-M_alt 'P 1'
_space_group_IT_number 1
_space_group_name_Hall 'P 1'
_cell_length_a 3.407
_cell_length_b 3.407
_cell_length_c 7.122
_cell_angle_alpha 90.00
_cell_angle_beta 90.00
_cell_angle_gamma 90.00
loop_
_atom_site_label
_atom_site_type_symbol
_atom_site_fract_x
_atom_site_fract_y
_atom_site_fract_z
Rh1 Rh 0.500 0.500 0.236
Rh2 Rh 0.000 0.000 0.111
Sc1 Sc 0.000 0.000 0.459
Br1 Br 0.500 0.500 0.694
```

# 12
## ScRhBr4 (PBE-GGA)

Data for an optimized crystal structure of ScRhBr4.

Output
Fermi-level density of states (states/eV per cell): 11.4

```
data_ScRhBr4
_space_group_name_H-M_alt 'P 1'
_space_group_IT_number 1
_space_group_name_Hall 'P 1'
_cell_length_a 6.061
_cell_length_b 6.061
_cell_length_c 6.061
_cell_angle_alpha 60.00
_cell_angle_beta 60.00
_cell_angle_gamma 60.00
loop_
_atom_site_label
_atom_site_type_symbol
_atom_site_fract_x
_atom_site_fract_y
_atom_site_fract_z
Br1 Br 0.375 0.375 0.874
Br2 Br 0.375 0.874 0.375
Br3 Br 0.375 0.375 0.375
Br4 Br 0.874 0.375 0.375
Rh1 Rh 0.750 0.750 0.750
Sc1 Sc 0.000 0.000 0.000
```

# 13
## ScRh2Br (PBE-GGA)

Data for an optimized crystal structure of ScRh2Br.

Output
Fermi-level density of states (states/eV per cell): 5.6

```
data_ScRh2Br
_space_group_name_H-M_alt 'P 1'
_space_group_IT_number 1
_space_group_name_Hall 'P 1'
_cell_length_a 4.588
_cell_length_b 4.588
_cell_length_c 4.588
_cell_angle_alpha 60.00
_cell_angle_beta 60.00
_cell_angle_gamma 60.00
loop_
_atom_site_label
_atom_site_type_symbol
_atom_site_fract_x
_atom_site_fract_y
_atom_site_fract_z
Sc1 Sc 0.000 0.000 0.000
Rh1 Rh 0.750 0.750 0.750
Rh2 Rh 0.250 0.250 0.250
Br1 Br 0.500 0.500 0.500
```

# 14
## ScRhBr2 (PBE-GGA)

Data for an optimized crystal structure of ScRhBr2.

Output
Fermi-level density of states (states/eV per cell): 3.6

```
data_ScRhBr2
_space_group_name_H-M_alt 'P 1'
_space_group_IT_number 1
_space_group_name_Hall 'P 1'
_cell_length_a 4.572
_cell_length_b 4.572
_cell_length_c 3.610
_cell_angle_alpha 90.00
_cell_angle_beta 90.00
_cell_angle_gamma 90.00
loop_
_atom_site_label
_atom_site_type_symbol
_atom_site_fract_x
_atom_site_fract_y
_atom_site_fract_z
Rh1 Rh 0.500 0.000 0.500
Br1 Br 0.000 0.000 0.000
Br2 Br 0.500 0.500 0.000
Sc1 Sc 0.000 0.500 0.500
```

# 15
## ScRhBr2 (PBE-GGA)

Data for an optimized crystal structure of ScRhBr2.

Output
Fermi-level density of states (states/eV per cell): 0.2

```
data_ScRhBr2
_space_group_name_H-M_alt 'P 1'
_space_group_IT_number 1
_space_group_name_Hall 'P 1'
_cell_length_a 4.745
_cell_length_b 4.745
_cell_length_c 4.745
_cell_angle_alpha 60.00
_cell_angle_beta 60.00
_cell_angle_gamma 60.00
loop_
_atom_site_label
_atom_site_type_symbol
_atom_site_fract_x
_atom_site_fract_y
_atom_site_fract_z
Br1 Br 0.750 0.750 0.750
Br2 Br 0.250 0.250 0.250
Sc1 Sc 0.000 0.000 0.000
Rh1 Rh 0.500 0.500 0.500
```

| no. | formation energy (no corrections) (eV per atom) |
| --- | --- |
| 1 | -0.229 |
| 2 | -0.217 |
| 3 | -0.184 |
| 4 | -0.457 |
| 5 | -0.369 |
| 6 | -0.075 |
| 7 | -0.812 |
| 8 | -0.044 |
| 9 | -0.905 |
| 10 | -0.108 |
| 11 | -0.379 |
| 12 | 0.753 |
| 13 | -0.043 |
| 14 | -0.283 |
| 15 | -0.347 |